Record 1
Computed, not measured: a geometry-optimized LaPrTl4 structure at the PBE level of DFT.

```
data_LaPrTl4
_space_group_name_H-M_alt 'C 1 m 1'
_space_group_IT_number 8
_cell_length_a 17.6670
_cell_length_b 4.8567
_cell_length_c 4.4731
_cell_angle_alpha 90.00
_cell_angle_beta 102.97
_cell_angle_gamma 90.00
loop_
_space_group_symop_operation_xyz
'x,y,z'
'x,-y,z'
'x+1/2,y+1/2,z'
'x+1/2,-y+1/2,z'
loop_
_atom_site_label
_atom_site_fract_x
_atom_site_fract_y
_atom_site_fract_z
_atom_site_occupancy
La1 0.0000 0.0000 0.0000 1
Pr1 0.2999 0.5000 0.3298 1
Tl1 0.1269 0.5000 0.8329 1
Tl2 0.1748 0.0000 0.4769 1
Tl3 0.3406 0.0000 0.8654 1
Tl4 0.4564 0.0000 0.4643 1
```

## Properties
ΔE to the lowest computed polymorph	0.000	eV/atom
ΔH_f (0 K)	-161	kJ/mol of formula units


Record 2
Computed, not measured: a geometry-optimized KSr2RuO5 structure at the PBE level of DFT.

```
data_KSr2RuO5
_space_group_name_H-M_alt 'I m m m'
_space_group_IT_number 71
_space_group_name_Hall '-I 2 2'
_cell_length_a 3.9742
_cell_length_b 6.2002
_cell_length_c 11.4815
_cell_angle_alpha 90.00
_cell_angle_beta 90.00
_cell_angle_gamma 90.00
loop_
_atom_site_label
_atom_site_fract_x
_atom_site_fract_y
_atom_site_fract_z
_atom_site_occupancy
K1 0.0000 0.0000 0.0000 1
Sr1 0.0000 0.5000 0.2190 1
Ru1 0.0000 0.0000 0.5000 1
O1 0.0000 0.2181 0.3718 1
O2 0.0000 0.5000 0.0000 1
```

## Properties
uncorrected formation energy	-1925	meV/atom


Record 3
Computed, not measured: a geometry-optimized Be2Cu2Au structure at the PBE level of DFT.

```
data_Be2Cu2Au
_space_group_name_H-M_alt 'I 4/m m m'
_space_group_IT_number 139
_space_group_name_Hall '-I 4 2'
_cell_length_a 3.1445
_cell_length_b 3.1445
_cell_length_c 12.5297
_cell_angle_alpha 90.00
_cell_angle_beta 90.00
_cell_angle_gamma 90.00
loop_
_atom_site_label
_atom_site_fract_x
_atom_site_fract_y
_atom_site_fract_z
_atom_site_occupancy
Be1 0.0000 0.5000 0.2500 1
Cu1 0.0000 0.0000 0.1183 1
Au1 0.0000 0.0000 0.5000 1
```

## Properties
ΔE to the lowest computed polymorph	0.195	eV/atom
ΔH_f (0 K)	56	kJ/mol of formula units


Record 4
Computed, not measured: a geometry-optimized ThU4 structure at the PBE level of DFT.

```
data_ThU4
_space_group_name_H-M_alt 'P m -3 m'
_space_group_IT_number 221
_space_group_name_Hall '-P 4 2 3'
_cell_length_a 5.3510
_cell_length_b 5.3510
_cell_length_c 5.3510
_cell_angle_alpha 90.00
_cell_angle_beta 90.00
_cell_angle_gamma 90.00
loop_
_atom_site_label
_atom_site_fract_x
_atom_site_fract_y
_atom_site_fract_z
_atom_site_occupancy
Th1 0.0000 0.0000 0.0000 1
U1 0.0000 0.0000 0.5000 1
U2 0.5000 0.5000 0.5000 1
```

## Properties
ΔH_f (0 K)	868	kJ/mol of formula units


Record 5
Computed, not measured: a geometry-optimized CuSnPO2 structure at the PBE level of DFT.

```
data_CuSnPO2
_space_group_name_H-M_alt 'P 4/m m m'
_space_group_IT_number 123
_space_group_name_Hall '-P 4 2'
_cell_length_a 3.8747
_cell_length_b 3.8747
_cell_length_c 5.7255
_cell_angle_alpha 90.00
_cell_angle_beta 90.00
_cell_angle_gamma 90.00
loop_
_atom_site_label
_atom_site_fract_x
_atom_site_fract_y
_atom_site_fract_z
_atom_site_occupancy
Cu1 0.0000 0.0000 0.0000 1
Sn1 0.5000 0.5000 0.5000 1
P1 0.5000 0.5000 0.0000 1
O1 0.0000 0.5000 0.5000 1
```

## Properties
uncorrected formation energy	-22	meV/atom
ΔE to the lowest computed polymorph	0.000	eV/atom


Record 6
Computed, not measured: a geometry-optimized Nb2OsRu structure at the PBE level of DFT.

```
data_Nb2OsRu
_space_group_name_H-M_alt 'I m m m'
_space_group_IT_number 71
_space_group_name_Hall '-I 2 2'
_cell_length_a 2.8172
_cell_length_b 4.9223
_cell_length_c 9.9060
_cell_angle_alpha 90.00
_cell_angle_beta 90.00
_cell_angle_gamma 90.00
loop_
_atom_site_label
_atom_site_fract_x
_atom_site_fract_y
_atom_site_fract_z
_atom_site_occupancy
Nb1 0.0000 0.0000 0.2482 1
Os1 0.0000 0.0000 0.5000 1
Ru1 0.0000 0.0000 0.0000 1
```

## Properties
ΔH_f (0 K)	243	kJ/mol of formula units